Entry 1:
Entry from the Open Quantum Materials Database: a geometry-optimized BeCoSnPt structure (PBE).

## Properties
Calculated total energy = -21.42 eV/f.u.
Relative energy among the computed polymorphs = 0.0 meV/atom

Structure (extended XYZ):
```
16
Lattice="6.0781 0.0000 0.0000 0.0000 6.0781 0.0000 0.0000 0.0000 6.0781" Properties=species:S:1:pos:R:3 pbc="T T T"
Be 0.0000 0.0000 0.0000
Be 0.0000 3.0391 3.0391
Be 3.0391 0.0000 3.0391
Be 3.0391 3.0391 0.0000
Co 1.5195 1.5195 4.5586
Co 1.5195 4.5586 1.5195
Co 4.5586 1.5195 1.5195
Co 4.5586 4.5586 4.5586
Sn 0.0000 0.0000 3.0391
Sn 0.0000 3.0391 0.0000
Sn 3.0391 0.0000 0.0000
Sn 3.0391 3.0391 3.0391
Pt 1.5195 1.5195 1.5195
Pt 1.5195 4.5586 4.5586
Pt 4.5586 1.5195 4.5586
Pt 4.5586 4.5586 1.5195
```

=====

Entry 2:
Entry from the Open Quantum Materials Database: a geometry-optimized SmAl2Cl8 structure (PBE).

## Properties
Calculated total energy = -44.56 eV/f.u.

Structure (extended XYZ):
```
22
Lattice="7.0050 0.0000 0.0000 0.0000 6.9188 0.0000 -0.8789 0.0000 12.6847" Properties=species:S:1:pos:R:3 pbc="T T T"
Sm -0.2197 1.0868 3.1712
Sm -0.6591 5.8320 9.5136
Al 0.4020 1.8239 11.6687
Al 0.8414 5.0949 5.3263
Al 5.2847 1.8239 7.3584
Al 5.7241 5.0949 1.0161
Cl 0.2850 1.1949 7.8736
Cl 0.7245 5.7239 1.5312
Cl 1.5665 2.1447 1.1073
Cl 1.1270 4.7741 7.4496
Cl 1.4197 3.2593 4.3137
Cl 0.9803 3.6596 10.6561
Cl 1.5946 0.1671 10.9435
Cl 2.0340 6.7517 4.6011
Cl 4.0921 0.1671 8.0836
Cl 4.5315 6.7517 1.7412
Cl 5.1458 3.2593 2.0286
Cl 4.7064 3.6596 8.3710
Cl 4.9991 2.1447 5.2351
Cl 4.5596 4.7741 11.5775
Cl 5.4016 1.1949 11.1536
Cl 5.8411 5.7239 4.8112
```

=====

Entry 3:
Entry from the Open Quantum Materials Database: a geometry-optimized Tb2Ni3Ge5 structure (PBE).

## Properties
Calculated total energy = -55.56 eV/f.u.

Structure (extended XYZ):
```
20
Lattice="-4.8875 5.8061 2.9517 4.8875 -5.8061 2.9517 4.8875 5.8061 -2.9517" Properties=species:S:1:pos:R:3 pbc="T T T"
Tb 2.2867 1.5713 0.0000
Tb 2.2867 -1.5713 2.9517
Tb 2.6008 7.3775 0.0000
Tb 2.6008 4.2348 2.9517
Ni 3.8279 -4.2110 2.9517
Ni 4.8875 0.0000 1.4758
Ni 3.8279 4.2110 0.0000
Ni 1.0596 1.5952 2.9517
Ni 0.0000 5.8061 1.4758
Ni 1.0596 10.0171 0.0000
Ge 4.8875 -2.6705 1.4758
Ge 6.4505 1.1431 0.0000
Ge 0.0000 0.0000 1.4758
Ge 1.5630 4.6630 0.0000
Ge 4.8875 2.6705 1.4758
Ge 0.0000 3.1356 1.4758
Ge 3.3244 1.1431 2.9517
Ge 0.0000 0.0000 4.4275
Ge -1.5630 4.6630 2.9517
Ge 0.0000 8.4767 1.4758
```

=====

Entry 4:
Entry from the Open Quantum Materials Database: a geometry-optimized Ho2TmSc3AgTe2 structure (PBE).

## Properties
Calculated total energy = -47.51 eV/f.u.

Structure (extended XYZ):
```
9
Lattice="3.9539 0.0000 0.0000 0.0000 6.9744 4.0251 0.0000 -6.9744 4.0251" Properties=species:S:1:pos:R:3 pbc="T T T"
Ho 0.0000 -4.1937 4.0251
Ho 0.0000 4.1937 4.0251
Tm 0.0000 0.0000 3.2510
Sc 1.9769 0.0000 0.4135
Sc 1.9769 -1.7520 5.4333
Sc 1.9769 1.7520 5.4333
Ag 0.0000 0.0000 6.4250
Te 1.9769 -2.3173 2.4210
Te 1.9769 2.3173 2.4210
```

=====

Entry 5:
Entry from the Open Quantum Materials Database: a geometry-optimized BeAlTlNi structure (PBE).

## Properties
Calculated total energy = -13.86 eV/f.u.
Relative energy among the computed polymorphs = 0.0 meV/atom

Structure (extended XYZ):
```
16
Lattice="6.1966 0.0000 0.0000 0.0000 6.1966 0.0000 0.0000 0.0000 6.1966" Properties=species:S:1:pos:R:3 pbc="T T T"
Be 0.0000 0.0000 0.0000
Be 0.0000 3.0983 3.0983
Be 3.0983 0.0000 3.0983
Be 3.0983 3.0983 0.0000
Al 1.5492 1.5492 1.5492
Al 1.5492 4.6475 4.6475
Al 4.6475 1.5492 4.6475
Al 4.6475 4.6475 1.5492
Tl 1.5492 1.5492 4.6475
Tl 1.5492 4.6475 1.5492
Tl 4.6475 1.5492 1.5492
Tl 4.6475 4.6475 4.6475
Ni 0.0000 0.0000 3.0983
Ni 0.0000 3.0983 0.0000
Ni 3.0983 0.0000 0.0000
Ni 3.0983 3.0983 3.0983
```

=====

Entry 6:
Entry from the Open Quantum Materials Database: a geometry-optimized TbSnIr structure (PBE).

## Properties
Calculated total energy = -20.01 eV/f.u.

Structure (extended XYZ):
```
9
Lattice="7.5312 0.0000 0.0000 -3.7656 6.5223 0.0000 0.0000 0.0000 3.9430" Properties=species:S:1:pos:R:3 pbc="T T T"
Tb -1.5325 2.6543 0.0000
Tb 3.0650 0.0000 0.0000
Tb 2.2331 3.8679 0.0000
Sn -2.7883 4.8295 1.9715
Sn 0.9773 1.6928 1.9715
Sn 5.5766 0.0000 1.9715
Ir 0.0000 0.0000 0.0000
Ir 0.0000 4.3482 1.9715
Ir 3.7656 2.1741 1.9715
```

=====

Entry 7:
Entry from the Open Quantum Materials Database: a geometry-optimized TaCdCuPd structure (PBE).

## Properties
Energy relative to the elements = -2 kJ per mole of atoms
Calculated total energy = -21.71 eV/f.u.
Relative energy among the computed polymorphs = 0.0 meV/atom

Structure (extended XYZ):
```
16
Lattice="6.3731 0.0000 0.0000 0.0000 6.3731 0.0000 0.0000 0.0000 6.3731" Properties=species:S:1:pos:R:3 pbc="T T T"
Ta 0.0000 0.0000 0.0000
Ta 0.0000 3.1865 3.1865
Ta 3.1865 0.0000 3.1865
Ta 3.1865 3.1865 0.0000
Cd 0.0000 0.0000 3.1865
Cd 0.0000 3.1865 0.0000
Cd 3.1865 0.0000 0.0000
Cd 3.1865 3.1865 3.1865
Cu 1.5933 1.5933 1.5933
Cu 1.5933 4.7798 4.7798
Cu 4.7798 1.5933 4.7798
Cu 4.7798 4.7798 1.5933
Pd 1.5933 1.5933 4.7798
Pd 1.5933 4.7798 1.5933
Pd 4.7798 1.5933 1.5933
Pd 4.7798 4.7798 4.7798
```

=====

Entry 8:
Entry from the Open Quantum Materials Database: a geometry-optimized Fe3AgPb5 structure (PBE).

## Properties
Calculated total energy = -43.25 eV/f.u.

Structure (extended XYZ):
```
9
Lattice="5.3802 0.0000 0.0000 -2.6901 4.6594 0.0000 0.0000 0.0000 8.3344" Properties=species:S:1:pos:R:3 pbc="T T T"
Fe -1.3450 2.3297 0.0000
Fe 2.6901 0.0000 0.0000
Fe 1.3450 2.3297 0.0000
Ag 0.0000 0.0000 4.1672
Pb 0.0000 0.0000 0.0000
Pb 0.0000 3.1062 2.4557
Pb 0.0000 3.1062 5.8788
Pb 2.6901 1.5531 2.4557
Pb 2.6901 1.5531 5.8788
```